Version P
Pm2ErTh | PBE | optimized geometry

Unit cell a=3.4604 b=6.6048 c=11.9695 alpha=78.30 beta=82.20 gamma=89.88
Last column: nearest neighbours and their distance in Å.
Positions (direct):
Pm (0.1480, 0.3386, 0.2429)  2 Th 3.39-3.43, 5 Pm 3.46-3.60, 4 Er 3.69-3.79
Pm (0.2386, 0.7512, 0.0081)  9 Pm 3.46-3.80, 3 Er 3.68-3.84
Pm (0.7614, 0.2488, 0.9919)  9 Pm 3.46-3.80, 3 Er 3.68-3.84
Pm (0.8520, 0.6614, 0.7571)  2 Th 3.39-3.43, 5 Pm 3.46-3.60, 4 Er 3.69-3.79
Er (0.3865, 0.1683, 0.7300)  2 Er 3.46, 4 Th 3.56-3.60, 7 Pm 3.68-3.84
Er (0.6135, 0.8317, 0.2700)  2 Er 3.46, 4 Th 3.56-3.60, 7 Pm 3.68-3.84
Th (0.0000, 0.0000, 0.5000)  4 Th 3.30-3.46, 2 Pm 3.39, 4 Er 3.58-3.60
Th (0.0000, 0.5000, 0.5000)  4 Th 3.30-3.46, 2 Pm 3.43, 4 Er 3.56-3.59

Values from the calculation:
* ρ: 8.628 g/cm³


Version Q
Pm2ErTh | PBE | optimized geometry

Unit cell a=12.5608 b=12.5608 c=12.5608 alpha=16.22 beta=16.22 gamma=16.22
Last column: nearest neighbours and their distance in Å.
Positions (direct):
Pm (0.0903, 0.0903, 0.0903)  1 Er 3.36, 3 Th 3.50, 6 Pm 3.54
Pm (0.9097, 0.9097, 0.9097)  1 Er 3.36, 3 Th 3.50, 6 Pm 3.54
Er (0.0000, 0.0000, 0.0000)  2 Pm 3.36, 6 Er 3.54
Th (0.5000, 0.5000, 0.5000)  6 Pm 3.50, 6 Th 3.54

Values from the calculation:
* ρ: 8.488 g/cm³


Most stable of them? version P.


Version P
Pm2ErTh | PBE | optimized geometry

Unit cell a=5.0708 b=5.0708 c=5.0984 alpha=90.00 beta=90.00 gamma=90.00
Last column: nearest neighbours and their distance in Å.
Positions (direct):
Pm (0.0000, 0.5000, 0.0000)  4 Pm 3.59, 4 Th 3.60, 4 Er 3.60
Pm (0.5000, 0.0000, 0.0000)  4 Pm 3.59, 4 Th 3.60, 4 Er 3.60
Er (0.0000, 0.0000, 0.5000)  4 Th 3.59, 8 Pm 3.60
Th (0.5000, 0.5000, 0.5000)  4 Er 3.59, 8 Pm 3.60

Values from the calculation:
* ρ: 8.731 g/cm³


Version Q
Pm2ErTh | PBE | optimized geometry

Unit cell a=11.8096 b=11.8096 c=11.8096 alpha=17.62 beta=17.62 gamma=17.62
Last column: nearest neighbours and their distance in Å.
Positions (direct):
Pm (0.0000, 0.0000, 0.0000)  3 Th 3.56, 3 Er 3.58, 6 Pm 3.62
Pm (0.1680, 0.1680, 0.1680)  3 Th 3.56, 3 Er 3.61, 6 Pm 3.62
Er (0.7502, 0.7502, 0.7502)  6 Pm 3.58-3.61, 6 Er 3.62
Th (0.5840, 0.5840, 0.5840)  6 Pm 3.56, 6 Th 3.62

Values from the calculation:
* ρ: 8.688 g/cm³


Most stable of them? version Q.


Version P
Pm5Er4Th2 | PBE | optimized geometry

Unit cell a=8.8384 b=3.5135 c=11.8073 alpha=90.00 beta=94.32 gamma=90.00
Last column: nearest neighbours and their distance in Å.
Positions (direct):
Pm (0.0000, 0.0000, 0.0000)  6 Pm 3.44-3.51, 4 Er 3.62
Pm (0.0726, 0.0000, 0.2913)  4 Pm 3.45-3.59, 1 Th 3.48, 6 Er 3.59-3.74
Pm (0.3086, 0.0000, 0.8383)  1 Th 3.27, 4 Pm 3.44-3.59, 4 Er 3.59-3.64
Pm (0.6914, 0.0000, 0.1617)  1 Th 3.27, 4 Pm 3.44-3.59, 4 Er 3.59-3.64
Pm (0.9274, 0.0000, 0.7087)  4 Pm 3.45-3.59, 1 Th 3.48, 6 Er 3.59-3.74
Er (0.1980, 0.5000, 0.5463)  3 Er 3.51-3.59, 4 Th 3.57-3.71, 6 Pm 3.59-3.93
Er (0.3383, 0.5000, 0.1090)  2 Er 3.51, 8 Pm 3.59-3.74, 2 Th 3.61
Er (0.6617, 0.5000, 0.8910)  2 Er 3.51, 8 Pm 3.59-3.74, 2 Th 3.61
Er (0.8020, 0.5000, 0.4537)  3 Er 3.51-3.59, 4 Th 3.57-3.71, 6 Pm 3.59-3.93
Th (0.4612, 0.0000, 0.3664)  3 Th 3.18-3.51, 2 Pm 3.27-3.48
Th (0.5388, 0.0000, 0.6336)  3 Th 3.18-3.51, 2 Pm 3.27-3.48

Values from the calculation:
* ρ: 8.439 g/cm³


Version Q
Pm5Er4Th2 | PBE | optimized geometry

Unit cell a=14.7534 b=14.7534 c=14.7534 alpha=166.38 beta=149.89 gamma=33.18
Last column: nearest neighbours and their distance in Å.
Positions (direct):
Pm (0.0000, 0.0000, 0.0000)  4 Er 3.02, 4 Th 3.36
Pm (0.0625, 0.3048, 0.7576)  1 Th 3.31, 4 Pm 3.50-3.56, 2 Er 3.70
Pm (0.4528, 0.6952, 0.7576)  1 Th 3.31, 4 Pm 3.50-3.56, 2 Er 3.70
Pm (0.5472, 0.3048, 0.2424)  1 Th 3.31, 4 Pm 3.50-3.56, 2 Er 3.70
Pm (0.9375, 0.6952, 0.2424)  1 Th 3.31, 4 Pm 3.50-3.56, 2 Er 3.70
Er (0.3211, 0.5000, 0.8211)  1 Er 2.74, 2 Pm 3.02
Er (0.3996, 0.8996, 0.5000)  6 Er 3.50-3.61, 4 Pm 3.70
Er (0.6004, 0.1004, 0.5000)  6 Er 3.50-3.61, 4 Pm 3.70
Er (0.6789, 0.5000, 0.1789)  1 Er 2.74, 2 Pm 3.02
Th (0.1013, 0.6013, 0.5000)  4 Pm 3.31-3.36, 2 Th 3.50
Th (0.8987, 0.3987, 0.5000)  4 Pm 3.31-3.36, 2 Th 3.50

Values from the calculation:
* ρ: 8.136 g/cm³


Most stable of them? version P.


Version P
PmEr6Th2 | PBE | optimized geometry

Unit cell a=3.5539 b=3.5539 c=26.2086 alpha=90.00 beta=90.00 gamma=120.00
Last column: nearest neighbours and their distance in Å.
Positions (direct):
Pm (0.0000, 0.0000, 0.0000)  6 Pm 3.55, 6 Er 3.57
Er (0.0000, 0.0000, 0.2178)  9 Er 3.46-3.55, 3 Th 3.58
Er (0.0000, 0.0000, 0.4371)  7 Er 3.30-3.55, 3 Th 3.48
Er (0.0000, 0.0000, 0.5629)  7 Er 3.30-3.55, 3 Th 3.48
Er (0.0000, 0.0000, 0.7822)  9 Er 3.46-3.55, 3 Th 3.58
Er (0.3333, 0.6667, 0.1117)  9 Er 3.46-3.55, 3 Pm 3.57
Er (0.3333, 0.6667, 0.8883)  9 Er 3.46-3.55, 3 Pm 3.57
Th (0.3333, 0.6667, 0.3299)  6 Er 3.48-3.58, 6 Th 3.55
Th (0.3333, 0.6667, 0.6701)  6 Er 3.48-3.58, 6 Th 3.55

Values from the calculation:
* ρ: 9.341 g/cm³


Version Q
PmEr6Th2 | PBE | optimized geometry

Unit cell a=9.5120 b=9.5120 c=6.5692 alpha=97.77 beta=97.77 gamma=96.51
Last column: nearest neighbours and their distance in Å.
Positions (direct):
Pm (0.1154, 0.8846, 0.7500)  8 Er 3.26-3.65
Pm (0.8846, 0.1154, 0.2500)  8 Er 3.26-3.65
Er (0.0518, 0.2247, 0.8177)  2 Pm 3.34-3.65, 4 Er 3.41-3.72, 2 Th 3.50-3.53
Er (0.0611, 0.4579, 0.2709)  6 Er 3.40-3.52, 2 Th 3.45-3.66, 1 Pm 3.47
Er (0.2247, 0.0518, 0.3177)  2 Pm 3.34-3.65, 4 Er 3.41-3.72, 2 Th 3.50-3.53
Er (0.2738, 0.6556, 0.9953)  1 Pm 3.26, 5 Er 3.28-3.52, 3 Th 3.38-3.48
Er (0.3444, 0.7262, 0.5047)  1 Pm 3.26, 5 Er 3.28-3.52, 3 Th 3.38-3.48
Er (0.4579, 0.0611, 0.7709)  6 Er 3.40-3.52, 2 Th 3.45-3.66, 1 Pm 3.47
Er (0.5421, 0.9389, 0.2291)  6 Er 3.40-3.52, 2 Th 3.45-3.66, 1 Pm 3.47
Er (0.6556, 0.2738, 0.4953)  1 Pm 3.26, 5 Er 3.28-3.52, 3 Th 3.38-3.48
Er (0.7262, 0.3444, 0.0047)  1 Pm 3.26, 5 Er 3.28-3.52, 3 Th 3.38-3.48
Er (0.7753, 0.9482, 0.6823)  2 Pm 3.34-3.65, 4 Er 3.41-3.72, 2 Th 3.50-3.53
Er (0.9389, 0.5421, 0.7291)  6 Er 3.40-3.52, 2 Th 3.45-3.66, 1 Pm 3.47
Er (0.9482, 0.7753, 0.1823)  2 Pm 3.34-3.65, 4 Er 3.41-3.72, 2 Th 3.50-3.53
Th (0.3407, 0.3910, 0.6218)  3 Th 3.36-3.47, 7 Er 3.38-3.66
Th (0.3910, 0.3407, 0.1218)  3 Th 3.36-3.47, 7 Er 3.38-3.66
Th (0.6090, 0.6593, 0.8782)  3 Th 3.36-3.47, 7 Er 3.38-3.66
Th (0.6593, 0.6090, 0.3782)  3 Th 3.36-3.47, 7 Er 3.38-3.66

Values from the calculation:
* ρ: 9.262 g/cm³


Most stable of them? version P.


Version P
Pm4ErTh | PBE | optimized geometry

Unit cell a=12.0919 b=12.0919 c=12.0919 alpha=152.17 beta=40.90 gamma=150.63
Last column: nearest neighbours and their distance in Å.
Positions (direct):
Pm (0.0998, 0.4316, 0.6682)  7 Pm 3.50-3.71, 4 Er 3.55-3.62, 1 Th 3.83
Pm (0.1449, 0.0570, 0.0880)  3 Th 3.37-3.54, 6 Pm 3.50-3.75, 1 Er 3.67
Pm (0.2635, 0.4316, 0.8318)  7 Pm 3.50-3.71, 4 Er 3.55-3.62, 1 Th 3.83
Pm (0.4690, 0.0570, 0.4120)  3 Th 3.37-3.54, 6 Pm 3.50-3.75, 1 Er 3.67
Pm (0.5310, 0.9430, 0.5880)  3 Th 3.37-3.54, 6 Pm 3.50-3.75, 1 Er 3.67
Pm (0.7365, 0.5684, 0.1682)  7 Pm 3.50-3.71, 4 Er 3.55-3.62, 1 Th 3.83
Pm (0.8551, 0.9430, 0.9120)  3 Th 3.37-3.54, 6 Pm 3.50-3.75, 1 Er 3.67
Pm (0.9002, 0.5684, 0.3318)  7 Pm 3.50-3.71, 4 Er 3.55-3.62, 1 Th 3.83
Er (0.3255, 0.0755, 0.2500)  10 Pm 3.55-3.67, 2 Er 3.61
Er (0.6745, 0.9245, 0.7500)  10 Pm 3.55-3.67, 2 Er 3.61
Th (0.0000, 0.5000, 0.5000)  6 Pm 3.37-3.54
Th (0.5000, 0.5000, 0.0000)  6 Pm 3.37-3.54

Values from the calculation:
* ρ: 8.052 g/cm³


Version Q
Pm4ErTh | PBE | optimized geometry

Unit cell a=6.7042 b=6.7042 c=12.1475 alpha=107.40 beta=107.40 gamma=50.11
Last column: nearest neighbours and their distance in Å.
Positions (direct):
Pm (0.0421, 0.5434, 0.7092)  5 Pm 3.29-3.54
Pm (0.2091, 0.7091, 0.5428)  5 Pm 3.29-3.54
Pm (0.2909, 0.7909, 0.9572)  5 Pm 3.29-3.54
Pm (0.4566, 0.9579, 0.7908)  5 Pm 3.29-3.54
Pm (0.5434, 0.0421, 0.2092)  5 Pm 3.29-3.54
Pm (0.7091, 0.2091, 0.0428)  5 Pm 3.29-3.54
Pm (0.7909, 0.2909, 0.4572)  5 Pm 3.29-3.54
Pm (0.9579, 0.4566, 0.2908)  5 Pm 3.29-3.54
Er (0.2503, 0.7497, 0.2500)  2 Th 3.52, 12 Pm 3.72-3.75
Er (0.7497, 0.2503, 0.7500)  2 Th 3.52, 12 Pm 3.72-3.75
Th (0.0000, 0.5000, 0.0000)  2 Er 3.52, 12 Pm 3.73-3.74
Th (0.5000, 0.0000, 0.5000)  2 Er 3.52, 12 Pm 3.73-3.74

Values from the calculation:
* ρ: 8.224 g/cm³


Most stable of them? version Q.